[1]
This record from Alexandria describes a relaxed EuAlS2 crystal. The functional is PBE.

Computed properties:
Formation energy without anion corrections: -0.97 eV/atom
Density of states at the Fermi level: 3.15 states/eV/cell

Cell: 3.6347 3.6347 8.5139 Å, 77.68 77.68 60.00°
Fractional coordinates of all 4 atoms:
Al 0.5000 0.5000 0.5000
S 0.1145 0.1145 0.6565
S 0.8855 0.8855 0.3435
Eu 0.0000 0.0000 0.0000

[2]
This record from Alexandria describes a relaxed EuAl2S4 crystal. The functional is PBE.

Computed properties:
Formation energy without anion corrections: -1.43 eV/atom

Cell: 6.0216 6.0216 10.4943 Å, 90.00 90.00 120.59°
Fractional coordinates of all 14 atoms:
Al 0.2398 0.7623 0.0000
S 0.5000 0.0000 0.1639
Al 0.7623 0.2398 0.5000
Eu 0.5000 0.5000 0.7500
S 0.3543 0.1811 0.5000
S 0.5000 0.0000 0.8361
Al 0.7602 0.2377 0.0000
S 0.8189 0.6457 0.0000
S 0.0000 0.5000 0.6639
S 0.6457 0.8189 0.5000
S 0.0000 0.5000 0.3361
Eu 0.5000 0.5000 0.2500
Al 0.2377 0.7602 0.5000
S 0.1811 0.3543 0.0000

[3]
This record from Alexandria describes a relaxed EuAlSb2 crystal. The functional is PBE.

Computed properties:
Formation energy without anion corrections: -0.41 eV/atom
Density of states at the Fermi level: 2.04 states/eV/cell

Cell: 4.5396 4.7633 4.7633 Å, 90.00 90.00 90.00°
Fractional coordinates of all 4 atoms:
Eu 0.5000 0.0000 0.0000
Al 0.5000 0.5000 0.5000
Sb 0.0000 0.5000 0.0000
Sb 0.0000 0.0000 0.5000

[4]
This record from Alexandria describes a relaxed Eu2AlSb crystal. The functional is PBE.

Computed properties:
Formation energy without anion corrections: -0.57 eV/atom
Density of states at the Fermi level: 1.94 states/eV/cell

Cell: 4.4107 5.0773 5.0773 Å, 90.00 90.00 90.00°
Fractional coordinates of all 4 atoms:
Eu 0.0000 0.5000 0.0000
Eu 0.0000 0.0000 0.5000
Al 0.5000 0.5000 0.5000
Sb 0.5000 0.0000 0.0000

[5]
This record from Alexandria describes a relaxed EuAlSb crystal. The functional is PBE.

Computed properties:
Formation energy without anion corrections: -0.51 eV/atom
Density of states at the Fermi level: 7.23 states/eV/cell

Cell: 4.8108 4.4876 4.4876 Å, 120.00 90.00 90.00°
Fractional coordinates of all 3 atoms:
Al 0.0540 0.0000 0.0000
Eu 0.6865 0.6667 0.3333
Sb 0.2596 0.3333 0.6667

[6]
This record from Alexandria describes a relaxed SmEuScAl crystal. The functional is PBE.

Computed properties:
ΔE_f: -0.01 eV per atom
Density of states at the Fermi level: 6.09 states/eV/cell

Cell: 5.3154 5.3154 5.3154 Å, 60.00 60.00 60.00°
Fractional coordinates of all 4 atoms:
Al 0.7500 0.7500 0.7500
Sc 0.5000 0.5000 0.5000
Sm 0.0000 0.0000 0.0000
Eu 0.2500 0.2500 0.2500

[7]
This record from Alexandria describes a relaxed EuScAlTl crystal. The functional is PBE.

Computed properties:
ΔE_f: -0.25 eV per atom
Density of states at the Fermi level: 4.22 states/eV/cell

Cell: 5.2185 5.2185 5.2185 Å, 60.00 60.00 60.00°
Fractional coordinates of all 4 atoms:
Sc 0.2500 0.2500 0.2500
Tl 0.0000 0.0000 0.0000
Al 0.5000 0.5000 0.5000
Eu 0.7500 0.7500 0.7500

[8]
This record from Alexandria describes a relaxed EuYScAl crystal. The functional is PBE.

Computed properties:
ΔE_f: -0.01 eV per atom
Density of states at the Fermi level: 5.82 states/eV/cell

Cell: 5.2823 5.2823 5.2823 Å, 60.00 60.00 60.00°
Fractional coordinates of all 4 atoms:
Al 0.0000 0.0000 0.0000
Y 0.7500 0.7500 0.7500
Eu 0.5000 0.5000 0.5000
Sc 0.2500 0.2500 0.2500

[9]
This record from Alexandria describes a relaxed EuScAlZn crystal. The functional is PBE.

Computed properties:
ΔE_f: -0.25 eV per atom
Density of states at the Fermi level: 4.45 states/eV/cell

Cell: 5.0476 5.0476 5.0476 Å, 60.00 60.00 60.00°
Fractional coordinates of all 4 atoms:
Sc 0.2500 0.2500 0.2500
Eu 0.7500 0.7500 0.7500
Al 0.5000 0.5000 0.5000
Zn 0.0000 0.0000 0.0000

[10]
This record from Alexandria describes a relaxed EuAl2Se4 crystal. The functional is PBE.

Computed properties:
Formation energy without anion corrections: -1.24 eV/atom

Cell: 6.3049 6.3049 10.9834 Å, 90.00 90.00 120.45°
Fractional coordinates of all 14 atoms:
Al 0.2414 0.7610 0.0000
Se 0.8159 0.6521 0.0000
Eu 0.5000 0.5000 0.2500
Se 0.0000 0.5000 0.6686
Se 0.5000 0.0000 0.8314
Se 0.1841 0.3479 0.0000
Se 0.0000 0.5000 0.3314
Se 0.6521 0.8159 0.5000
Se 0.3479 0.1841 0.5000
Al 0.7610 0.2414 0.5000
Al 0.7586 0.2390 0.0000
Al 0.2390 0.7586 0.5000
Eu 0.5000 0.5000 0.7500
Se 0.5000 0.0000 0.1686

[11]
This record from Alexandria describes a relaxed Eu3Al5Se12 crystal. The functional is PBE.

Computed properties:
Formation energy without anion corrections: -1.10 eV/atom
Density of states at the Fermi level: 78.20 states/eV/cell

Cell: 13.8190 13.8190 13.8190 Å, 109.47 109.47 109.47°
Fractional coordinates of all 80 atoms:
Se 0.3822 0.9721 0.7943
Se 0.7943 0.4721 0.3822
Eu 0.3750 0.7500 0.6250
Al 0.2500 0.8750 0.1250
Eu 0.8750 0.7500 0.1250
Al 0.5000 0.0000 0.5000
Al 0.6250 0.8750 0.2500
Se 0.2943 0.4122 0.8223
Al 0.5000 0.0000 0.0000
Al 0.8750 0.6250 0.7500
Al 0.1250 0.3750 0.2500
Se 0.4122 0.2943 0.3223
Eu 0.3750 0.6250 0.2500
Se 0.9721 0.3822 0.2943
Se 0.7057 0.5878 0.1777
Al 0.6250 0.7500 0.8750
Se 0.6178 0.5899 0.9122
Se 0.1777 0.0899 0.9721
Al 0.0000 0.5000 0.0000
Eu 0.6250 0.2500 0.3750
Se 0.3223 0.7943 0.4122
Se 0.9122 0.0899 0.6178
Al 0.0000 0.0000 0.0000
Se 0.9721 0.5899 0.1777
Se 0.5899 0.6178 0.4122
Se 0.1178 0.7057 0.5279
Se 0.5279 0.3223 0.9101
Al 0.0000 0.5000 0.5000
Se 0.4101 0.0279 0.3223
Eu 0.7500 0.3750 0.1250
Al 0.2500 0.3750 0.6250
Se 0.7057 0.1178 0.0279
Se 0.4721 0.7943 0.8822
Se 0.0279 0.4101 0.8223
Se 0.1178 0.4122 0.0899
Se 0.8223 0.9122 0.2943
Se 0.5279 0.2057 0.1178
Se 0.6777 0.2057 0.5878
Eu 0.7500 0.8750 0.6250
Se 0.5878 0.8822 0.4101
Al 0.7500 0.6250 0.3750
Al 0.5000 0.5000 0.5000
Al 0.0000 0.0000 0.5000
Se 0.2057 0.5279 0.6178
Se 0.0878 0.9101 0.3822
Se 0.5899 0.9721 0.6777
Se 0.0899 0.9122 0.1178
Se 0.1777 0.0878 0.7057
Se 0.8822 0.5878 0.9101
Se 0.9122 0.8223 0.7943
Se 0.0279 0.6178 0.7057
Se 0.2943 0.8822 0.9721
Se 0.4721 0.6777 0.0899
Se 0.3822 0.4101 0.0878
Se 0.6178 0.0279 0.2057
Eu 0.1250 0.8750 0.7500
Se 0.6777 0.4721 0.5899
Se 0.7943 0.3223 0.9122
Se 0.8822 0.2943 0.4721
Al 0.3750 0.2500 0.1250
Se 0.0878 0.1777 0.2057
Al 0.7500 0.1250 0.8750
Al 0.5000 0.5000 0.0000
Se 0.2057 0.6777 0.0878
Se 0.4122 0.1178 0.5899
Eu 0.2500 0.6250 0.8750
Al 0.8750 0.2500 0.6250
Se 0.4101 0.3822 0.5878
Se 0.0899 0.1777 0.4721
Se 0.8223 0.9101 0.0279
Se 0.3223 0.5279 0.4101
Se 0.9101 0.0878 0.8822
Al 0.3750 0.1250 0.7500
Eu 0.6250 0.3750 0.7500
Eu 0.8750 0.1250 0.2500
Eu 0.2500 0.1250 0.3750
Al 0.1250 0.7500 0.3750
Se 0.9101 0.8223 0.5279
Eu 0.1250 0.2500 0.8750
Se 0.5878 0.7057 0.6777

[12]
This record from Alexandria describes a relaxed EuAl3Si crystal. The functional is PBE.

Computed properties:
Formation energy without anion corrections: -0.29 eV/atom
Density of states at the Fermi level: 2.38 states/eV/cell

Cell: 6.2805 6.2805 6.2805 Å, 140.20 140.20 57.55°
Fractional coordinates of all 5 atoms:
Eu 0.9955 0.9955 0.0000
Al 0.7520 0.2520 0.5000
Al 0.6136 0.6136 0.0000
Al 0.2520 0.7520 0.5000
Si 0.3869 0.3869 0.0000

[13]
This record from Alexandria describes a relaxed EuAlSi2 crystal. The functional is PBE.

Computed properties:
Formation energy without anion corrections: -0.26 eV/atom
Density of states at the Fermi level: 2.44 states/eV/cell

Cell: 4.3004 4.3004 5.6727 Å, 67.73 67.73 60.00°
Fractional coordinates of all 4 atoms:
Si 0.7081 0.7081 0.8757
Si 0.2919 0.2919 0.1243
Eu 0.5000 0.5000 0.5000
Al 0.0000 0.0000 0.0000

[14]
This record from Alexandria describes a relaxed EuAl2Si crystal. The functional is PBE.

Computed properties:
Formation energy without anion corrections: -0.14 eV/atom
Density of states at the Fermi level: 6.78 states/eV/cell

Cell: 4.2950 4.2950 6.0398 Å, 69.17 69.17 60.00°
Fractional coordinates of all 4 atoms:
Si 0.0000 0.0000 0.0000
Al 0.7135 0.7135 0.8595
Eu 0.5000 0.5000 0.5000
Al 0.2865 0.2865 0.1405

[15]
This record from Alexandria describes a relaxed EuAl2Si2 crystal. The functional is PBE.

Computed properties:
Formation energy without anion corrections: -0.35 eV/atom
Density of states at the Fermi level: 10.78 states/eV/cell

Cell: 4.1911 4.1911 7.0577 Å, 90.00 90.00 120.00°
Fractional coordinates of all 5 atoms:
Al 0.3333 0.6667 0.6328
Si 0.6667 0.3333 0.7336
Eu 0.0000 0.0000 0.0000
Si 0.3333 0.6667 0.2664
Al 0.6667 0.3333 0.3672

[16]
This record from Alexandria describes a relaxed SmEu2Al crystal. The functional is PBE.

Computed properties:
ΔE_f: 0.35 eV per atom
Density of states at the Fermi level: 4.93 states/eV/cell
E above lowest polymorph: 412.9 meV/atom

Cell: 3.5742 3.5742 12.7285 Å, 81.93 81.93 60.00°
Fractional coordinates of all 4 atoms:
Eu 0.0844 0.0844 0.7469
Sm 0.5000 0.5000 0.5000
Eu 0.9156 0.9156 0.2531
Al 0.0000 0.0000 0.0000

[17]
This record from Alexandria describes a relaxed SmEu2Al crystal. The functional is PBE.

Computed properties:
ΔE_f: -0.04 eV per atom
Density of states at the Fermi level: 4.18 states/eV/cell
E above lowest polymorph: 23.1 meV/atom

Cell: 3.7409 3.7409 9.1048 Å, 90.00 90.00 90.00°
Fractional coordinates of all 4 atoms:
Eu 0.0000 0.0000 0.7945
Al 0.5000 0.5000 0.0000
Eu 0.0000 0.0000 0.2055
Sm 0.5000 0.5000 0.5000

[18]
This record from Alexandria describes a relaxed SmEuAl2 crystal. The functional is PBE.

Computed properties:
ΔE_f: -0.27 eV per atom
Density of states at the Fermi level: 6.67 states/eV/cell
E above lowest polymorph: 21.5 meV/atom

Cell: 5.2655 5.2655 5.2655 Å, 60.00 60.00 60.00°
Fractional coordinates of all 4 atoms:
Sm 0.5000 0.5000 0.5000
Al 0.7500 0.7500 0.7500
Al 0.2500 0.2500 0.2500
Eu 0.0000 0.0000 0.0000

[19]
This record from Alexandria describes a relaxed SmEu2Al crystal. The functional is PBE.

Computed properties:
ΔE_f: -0.07 eV per atom
Density of states at the Fermi level: 3.54 states/eV/cell
E above lowest polymorph: 0.0 meV/atom

Cell: 5.1681 4.8516 4.8516 Å, 90.00 90.00 90.00°
Fractional coordinates of all 4 atoms:
Eu 0.0000 0.0000 0.5000
Al 0.5000 0.0000 0.0000
Eu 0.0000 0.5000 0.0000
Sm 0.5000 0.5000 0.5000

[20]
This record from Alexandria describes a relaxed SmEuAl2 crystal. The functional is PBE.

Computed properties:
ΔE_f: -0.29 eV per atom
Density of states at the Fermi level: 6.05 states/eV/cell
E above lowest polymorph: 0.0 meV/atom

Cell: 3.7235 3.7235 7.4838 Å, 90.00 90.00 90.00°
Fractional coordinates of all 4 atoms:
Sm 0.5000 0.5000 0.5000
Eu 0.5000 0.5000 0.0000
Al 0.0000 0.0000 0.2621
Al 0.0000 0.0000 0.7379

[21]
This record from Alexandria describes a relaxed TbSmEuAl crystal. The functional is PBE.

Computed properties:
ΔE_f: -0.04 eV per atom
Density of states at the Fermi level: 4.69 states/eV/cell

Cell: 5.4501 5.4501 5.4501 Å, 60.00 60.00 60.00°
Fractional coordinates of all 4 atoms:
Al 0.2500 0.2500 0.2500
Tb 0.0000 0.0000 0.0000
Eu 0.7500 0.7500 0.7500
Sm 0.5000 0.5000 0.5000

[22]
This record from Alexandria describes a relaxed SmEuAlTl crystal. The functional is PBE.

Computed properties:
ΔE_f: -0.30 eV per atom
Density of states at the Fermi level: 9.00 states/eV/cell

Cell: 5.4202 5.4202 5.4202 Å, 60.00 60.00 60.00°
Fractional coordinates of all 4 atoms:
Sm 0.7500 0.7500 0.7500
Tl 0.0000 0.0000 0.0000
Al 0.5000 0.5000 0.5000
Eu 0.2500 0.2500 0.2500

[23]
This record from Alexandria describes a relaxed SmEuYAl crystal. The functional is PBE.

Computed properties:
ΔE_f: -0.04 eV per atom
Density of states at the Fermi level: 4.93 states/eV/cell

Cell: 5.4547 5.4547 5.4547 Å, 60.00 60.00 60.00°
Fractional coordinates of all 4 atoms:
Eu 0.5000 0.5000 0.5000
Sm 0.2500 0.2500 0.2500
Y 0.7500 0.7500 0.7500
Al 0.0000 0.0000 0.0000

[24]
This record from Alexandria describes a relaxed SmEuAlZn crystal. The functional is PBE.

Computed properties:
ΔE_f: -0.27 eV per atom
Density of states at the Fermi level: 4.94 states/eV/cell

Cell: 5.2626 5.2626 5.2626 Å, 60.00 60.00 60.00°
Fractional coordinates of all 4 atoms:
Zn 0.7500 0.7500 0.7500
Sm 0.0000 0.0000 0.0000
Al 0.2500 0.2500 0.2500
Eu 0.5000 0.5000 0.5000

[25]
This record from Alexandria describes a relaxed EuAlSn2 crystal. The functional is PBE.

Computed properties:
ΔE_f: -0.29 eV per atom
Density of states at the Fermi level: 2.22 states/eV/cell

Cell: 3.8391 3.8391 7.0003 Å, 90.00 90.00 90.00°
Fractional coordinates of all 4 atoms:
Sn 0.0000 0.0000 0.2090
Eu 0.5000 0.5000 0.5000
Al 0.5000 0.5000 0.0000
Sn 0.0000 0.0000 0.7910

no.,calculated volume (Å³/cell),size of the total moment (μB/f.u.)
1,94,7.7
2,328,7.0
3,103,6.9
4,114,14.3
5,84,7.0
6,106,7.6
7,100,7.1
8,104,7.5
9,91,7.2
10,376,7.0
11,2031,18.1
12,101,7.0
13,82,6.7
14,88,7.0
15,107,6.9
16,139,15.4
17,127,14.5
18,103,7.0
19,122,14.3
20,104,7.1
21,114,7.3
22,113,7.3
23,115,7.4
24,103,7.5
25,103,7.2